Th3CdHg3 | PBE | relaxed

Cell lengths 6.589, 6.589, 9.345 Å; angles 90.99, 90.99, 100.05 degrees
Fractional positions:
Th1 0.187 0.813 0.000
Th2 0.247 0.753 0.500
Th3 0.426 0.426 0.181
Th4 0.574 0.574 0.819
Th5 0.753 0.247 0.500
Th6 0.813 0.187 0.000
Cd1 0.271 0.271 0.540
Cd2 0.729 0.729 0.460
Hg1 0.056 0.056 0.280
Hg2 0.060 0.463 0.765
Hg3 0.463 0.060 0.765
Hg4 0.537 0.940 0.235
Hg5 0.940 0.537 0.235
Hg6 0.944 0.944 0.720

Results
Its final energy is -3.517 eV per atom. The value obtained for the total magnetization is 0.00 μB/atom. The calculated formation energy is -7 kJ per mole of atoms. The calculation puts the density of states at the Fermi level at 7.8 states/eV/f.u. As for the crystal system: monoclinic. The value obtained for the volume is 199.7 Å³/f.u.



Th3Cd4Hg4 | PBE | relaxed

Cell lengths 16.120, 16.120, 5.081 Å; angles 98.98, 98.98, 12.18 degrees
Fractional positions:
Th1 0.000 0.000 0.000
Th2 0.140 0.140 0.639
Th3 0.860 0.860 0.361
Cd1 0.265 0.265 0.266
Cd2 0.407 0.407 0.908
Cd3 0.593 0.593 0.092
Cd4 0.735 0.735 0.734
Hg1 0.315 0.315 0.817
Hg2 0.453 0.453 0.453
Hg3 0.547 0.547 0.547
Hg4 0.685 0.685 0.183

Results
Its final energy is -2.654 eV per atom. The value obtained for the total magnetization is 0.00 μB/atom. The calculated formation energy is -18 kJ per mole of atoms. The calculation puts the density of states at the Fermi level at 6.0 states/eV/f.u. As for the crystal system: monoclinic. The value obtained for the volume is 275.1 Å³/f.u.



ThCd2Hg3 | PBE | relaxed

Cell lengths 7.013, 7.013, 4.768 Å; angles 90.00, 90.00, 140.15 degrees
Fractional positions:
Th1 0.000 0.000 0.000
Cd1 0.321 0.679 0.000
Cd2 0.679 0.321 0.000
Hg1 0.166 0.834 0.500
Hg2 0.500 0.500 0.500
Hg3 0.834 0.166 0.500

Results
Its final energy is -1.808 eV per atom. The offset from the most stable computed form is 0 meV/atom. The value obtained for the total magnetization is 0.00 μB/atom. The calculated formation energy is -11 kJ per mole of atoms. The calculation puts the density of states at the Fermi level at 4.1 states/eV/f.u. As for the crystal system: orthorhombic. The value obtained for the volume is 150.3 Å³/f.u.



Th2CdHg | PBE | relaxed

Cell lengths 4.846, 4.846, 4.671 Å; angles 90.00, 90.00, 90.00 degrees
Fractional positions:
Th1 0.000 0.500 0.000
Th2 0.500 0.000 0.000
Cd1 0.000 0.000 0.500
Hg1 0.500 0.500 0.500

Results
Its final energy is -4.177 eV per atom. The offset from the most stable computed form is 0 meV/atom. The value obtained for the total magnetization is 0.00 μB/atom. The calculated formation energy is -16 kJ per mole of atoms. The calculation puts the density of states at the Fermi level at 3.5 states/eV/f.u. As for the crystal system: tetragonal. The value obtained for the volume is 109.7 Å³/f.u.



Th2Cd3Hg2 | PBE | relaxed

Cell lengths 5.984, 5.984, 7.290 Å; angles 108.68, 108.68, 47.12 degrees
Fractional positions:
Th1 0.148 0.148 0.273
Th2 0.852 0.852 0.727
Cd1 0.399 0.399 0.074
Cd2 0.500 0.500 0.500
Cd3 0.601 0.601 0.926
Hg1 0.157 0.157 0.725
Hg2 0.843 0.843 0.275

Results
Its final energy is -2.770 eV per atom. The offset from the most stable computed form is 0 meV/atom. The value obtained for the total magnetization is 0.00 μB/atom. The calculated formation energy is -17 kJ per mole of atoms. The calculation puts the density of states at the Fermi level at 5.6 states/eV/f.u. As for the crystal system: monoclinic. The value obtained for the volume is 179.2 Å³/f.u.



ThCd2Hg5 | PBE | relaxed

Cell lengths 8.576, 8.576, 8.576 Å; angles 124.83, 124.83, 81.83 degrees
Fractional positions:
Th1 0.250 0.250 0.000
Th2 0.750 0.750 0.000
Cd1 0.146 0.646 0.793
Cd2 0.354 0.146 0.500
Cd3 0.646 0.854 0.500
Cd4 0.854 0.354 0.207
Hg1 0.000 0.000 0.000
Hg2 0.010 0.803 0.500
Hg3 0.197 0.697 0.206
Hg4 0.303 0.510 0.500
Hg5 0.490 0.990 0.794
Hg6 0.500 0.500 0.000
Hg7 0.510 0.010 0.206
Hg8 0.697 0.490 0.500
Hg9 0.803 0.303 0.794
Hg10 0.990 0.197 0.500

Results
Its final energy is -1.373 eV per atom. The value obtained for the total magnetization is 0.00 μB/atom. The calculated formation energy is -3 kJ per mole of atoms. The calculation puts the density of states at the Fermi level at 4.7 states/eV/f.u. As for the crystal system: tetragonal. The value obtained for the volume is 204.4 Å³/f.u.



ThCdHg | PBE | relaxed

Cell lengths 6.522, 5.355, 9.148 Å; angles 90.00, 90.00, 90.00 degrees
Fractional positions:
Th1 0.249 0.250 0.085
Th2 0.251 0.750 0.585
Th3 0.749 0.250 0.415
Th4 0.751 0.750 0.915
Cd1 0.000 0.250 0.750
Cd2 0.000 0.750 0.250
Cd3 0.500 0.250 0.750
Cd4 0.500 0.750 0.250
Hg1 0.249 0.250 0.420
Hg2 0.251 0.750 0.920
Hg3 0.749 0.250 0.080
Hg4 0.751 0.750 0.580

Results
Its final energy is -3.086 eV per atom. The value obtained for the total magnetization is 0.00 μB/atom. The calculated formation energy is -20 kJ per mole of atoms. The calculation puts the density of states at the Fermi level at 2.0 states/eV/f.u. As for the crystal system: orthorhombic. The value obtained for the volume is 79.9 Å³/f.u.



Th3Cd4Hg2 | PBE | relaxed

Cell lengths 7.597, 7.597, 4.690 Å; angles 90.00, 90.00, 120.00 degrees
Fractional positions:
Th1 0.000 0.567 0.000
Th2 0.433 0.433 0.000
Th3 0.567 0.000 0.000
Cd1 0.000 0.000 0.000
Cd2 0.000 0.240 0.500
Cd3 0.240 0.000 0.500
Cd4 0.760 0.760 0.500
Hg1 0.333 0.667 0.500
Hg2 0.667 0.333 0.500

Results
Its final energy is -3.163 eV per atom. The offset from the most stable computed form is 0 meV/atom. The value obtained for the total magnetization is 0.00 μB/atom. The calculated formation energy is -21 kJ per mole of atoms. The calculation puts the density of states at the Fermi level at 2.8 states/eV/f.u. As for the crystal system: hexagonal. The value obtained for the volume is 234.4 Å³/f.u.



ThCd7Hg4 | PBE | relaxed

Cell lengths 6.886, 6.886, 10.417 Å; angles 121.29, 121.29, 53.10 degrees
Fractional positions:
Th1 0.000 0.000 0.000
Cd1 0.040 0.040 0.341
Cd2 0.263 0.263 0.003
Cd3 0.297 0.297 0.339
Cd4 0.500 0.500 0.000
Cd5 0.703 0.703 0.661
Cd6 0.737 0.737 0.997
Cd7 0.960 0.960 0.659
Hg1 0.219 0.219 0.685
Hg2 0.466 0.466 0.682
Hg3 0.534 0.534 0.318
Hg4 0.781 0.781 0.315

Results
Its final energy is -1.162 eV per atom. The value obtained for the total magnetization is 0.00 μB/atom. The calculated formation energy is 9 kJ per mole of atoms. The calculation puts the density of states at the Fermi level at 6.5 states/eV/f.u. As for the crystal system: monoclinic. The value obtained for the volume is 321.6 Å³/f.u.



Th3Cd4Hg2 | PBE | relaxed

Cell lengths 6.136, 6.136, 9.478 Å; angles 118.04, 118.04, 48.96 degrees
Fractional positions:
Th1 0.000 0.000 0.000
Th2 0.331 0.331 0.335
Th3 0.669 0.669 0.665
Cd1 0.050 0.050 0.385
Cd2 0.275 0.275 0.944
Cd3 0.725 0.725 0.056
Cd4 0.950 0.950 0.615
Hg1 0.389 0.389 0.723
Hg2 0.611 0.611 0.277

Results
Its final energy is -3.158 eV per atom. The offset from the most stable computed form is 5 meV/atom. The value obtained for the total magnetization is 0.00 μB/atom. The calculated formation energy is -20 kJ per mole of atoms. The calculation puts the density of states at the Fermi level at 7.6 states/eV/f.u. As for the crystal system: monoclinic. The value obtained for the volume is 230.4 Å³/f.u.



ThCdHg3 | PBE | relaxed

Cell lengths 5.214, 5.230, 9.531 Å; angles 90.00, 105.73, 90.00 degrees
Fractional positions:
Th1 0.151 0.250 0.301
Th2 0.849 0.750 0.699
Cd1 0.348 0.250 0.698
Cd2 0.652 0.750 0.302
Hg1 0.045 0.750 0.090
Hg2 0.249 0.750 0.499
Hg3 0.451 0.750 0.903
Hg4 0.549 0.250 0.097
Hg5 0.751 0.250 0.501
Hg6 0.955 0.250 0.910

Results
Its final energy is -2.012 eV per atom. The offset from the most stable computed form is 0 meV/atom. The value obtained for the total magnetization is 0.00 μB/atom. The calculated formation energy is -16 kJ per mole of atoms. The calculation puts the density of states at the Fermi level at 2.0 states/eV/f.u. As for the crystal system: monoclinic. The value obtained for the volume is 125.1 Å³/f.u.



ThCd12Hg6 | PBE | relaxed

Cell lengths 8.242, 8.242, 8.242 Å; angles 105.54, 105.54, 105.54 degrees
Fractional positions:
Th1 0.000 0.000 0.000
Cd1 0.109 0.500 0.891
Cd2 0.109 0.891 0.500
Cd3 0.129 0.367 0.367
Cd4 0.367 0.129 0.367
Cd5 0.367 0.367 0.129
Cd6 0.500 0.109 0.891
Cd7 0.500 0.891 0.109
Cd8 0.633 0.633 0.871
Cd9 0.633 0.871 0.633
Cd10 0.871 0.633 0.633
Cd11 0.891 0.109 0.500
Cd12 0.891 0.500 0.109
Hg1 0.282 0.703 0.703
Hg2 0.297 0.297 0.718
Hg3 0.297 0.718 0.297
Hg4 0.703 0.282 0.703
Hg5 0.703 0.703 0.282
Hg6 0.718 0.297 0.297

Results
Its final energy is -0.968 eV per atom. The value obtained for the total magnetization is 0.00 μB/atom. The calculated formation energy is 9 kJ per mole of atoms. The calculation puts the density of states at the Fermi level at 9.9 states/eV/f.u. As for the crystal system: trigonal. The value obtained for the volume is 483.6 Å³/f.u.



ThCd4Hg | PBE | relaxed

Cell lengths 5.016, 5.016, 6.816 Å; angles 90.00, 90.00, 120.00 degrees
Fractional positions:
Th1 0.000 0.000 0.000
Cd1 0.333 0.667 0.252
Cd2 0.333 0.667 0.748
Cd3 0.667 0.333 0.252
Cd4 0.667 0.333 0.748
Hg1 0.000 0.000 0.500

Results
Its final energy is -2.003 eV per atom. The offset from the most stable computed form is 0 meV/atom. The value obtained for the total magnetization is 0.00 μB/atom. The calculated formation energy is -10 kJ per mole of atoms. The calculation puts the density of states at the Fermi level at 3.5 states/eV/f.u. As for the crystal system: hexagonal. The value obtained for the volume is 148.5 Å³/f.u.



ThCd4Hg7 | PBE | relaxed

Cell lengths 7.012, 7.012, 9.494 Å; angles 118.01, 118.01, 52.67 degrees
Fractional positions:
Th1 0.000 0.000 0.000
Cd1 0.254 0.254 0.674
Cd2 0.499 0.499 0.672
Cd3 0.501 0.501 0.328
Cd4 0.746 0.746 0.326
Hg1 0.004 0.004 0.344
Hg2 0.254 0.254 0.999
Hg3 0.264 0.264 0.348
Hg4 0.500 0.500 0.000
Hg5 0.736 0.736 0.652
Hg6 0.746 0.746 0.001
Hg7 0.996 0.996 0.656

Results
Its final energy is -1.077 eV per atom. The value obtained for the total magnetization is 0.00 μB/atom. The calculated formation energy is 2 kJ per mole of atoms. The calculation puts the density of states at the Fermi level at 5.9 states/eV/f.u. As for the crystal system: monoclinic. The value obtained for the volume is 316.1 Å³/f.u.



Th2CdHg | PBE | relaxed

Cell lengths 12.173, 12.173, 12.173 Å; angles 16.08, 16.08, 16.08 degrees
Fractional positions:
Th1 0.092 0.092 0.092
Th2 0.908 0.908 0.908
Cd1 0.000 0.000 0.000
Hg1 0.500 0.500 0.500

Results
Its final energy is -3.855 eV per atom. The offset from the most stable computed form is 322 meV/atom. The value obtained for the total magnetization is 0.00 μB/atom. The calculated formation energy is 15 kJ per mole of atoms. The calculation puts the density of states at the Fermi level at 3.5 states/eV/f.u. As for the crystal system: trigonal. The value obtained for the volume is 120.6 Å³/f.u.



Th2Cd3Hg | PBE | relaxed

Cell lengths 3.395, 5.101, 8.854 Å; angles 90.00, 90.00, 90.00 degrees
Fractional positions:
Th1 0.000 0.000 0.000
Th2 0.000 0.500 0.490
Cd1 0.500 0.000 0.665
Cd2 0.500 0.500 0.158
Cd3 0.500 0.500 0.826
Hg1 0.500 0.000 0.331

Results
Its final energy is -3.191 eV per atom. The offset from the most stable computed form is 0 meV/atom. The value obtained for the total magnetization is 0.00 μB/atom. The calculated formation energy is -20 kJ per mole of atoms. The calculation puts the density of states at the Fermi level at 2.5 states/eV/f.u. As for the crystal system: orthorhombic. The value obtained for the volume is 153.3 Å³/f.u.



ThCdHg3 | PBE | relaxed

Cell lengths 8.132, 8.132, 6.792 Å; angles 105.12, 105.12, 35.69 degrees
Fractional positions:
Th1 0.127 0.127 0.483
Th2 0.873 0.873 0.517
Cd1 0.478 0.478 0.280
Cd2 0.522 0.522 0.720
Hg1 0.084 0.084 0.931
Hg2 0.279 0.279 0.218
Hg3 0.339 0.339 0.787
Hg4 0.661 0.661 0.213
Hg5 0.721 0.721 0.782
Hg6 0.916 0.916 0.069

Results
Its final energy is -1.995 eV per atom. The offset from the most stable computed form is 17 meV/atom. The value obtained for the total magnetization is 0.00 μB/atom. The calculated formation energy is -14 kJ per mole of atoms. The calculation puts the density of states at the Fermi level at 2.8 states/eV/f.u. As for the crystal system: monoclinic. The value obtained for the volume is 126.0 Å³/f.u.



ThCd4Hg | PBE | relaxed

Cell lengths 5.952, 5.952, 5.952 Å; angles 60.00, 60.00, 60.00 degrees
Fractional positions:
Th1 0.000 0.000 0.000
Cd1 0.375 0.375 0.375
Cd2 0.375 0.375 0.876
Cd3 0.375 0.876 0.375
Cd4 0.876 0.375 0.375
Hg1 0.750 0.750 0.750

Results
Its final energy is -1.882 eV per atom. The offset from the most stable computed form is 120 meV/atom. The value obtained for the total magnetization is 0.00 μB/atom. The calculated formation energy is 1 kJ per mole of atoms. The calculation puts the density of states at the Fermi level at 3.8 states/eV/f.u. As for the crystal system: cubic. The value obtained for the volume is 149.1 Å³/f.u.



Th7Cd2Hg3 | PBE | relaxed

Cell lengths 12.436, 12.436, 5.603 Å; angles 90.00, 90.00, 153.85 degrees
Fractional positions:
Th1 0.000 0.000 0.000
Th2 0.081 0.919 0.500
Th3 0.286 0.714 0.000
Th4 0.425 0.575 0.000
Th5 0.575 0.425 0.000
Th6 0.714 0.286 0.000
Th7 0.919 0.081 0.500
Cd1 0.151 0.849 0.000
Cd2 0.849 0.151 0.000
Hg1 0.348 0.652 0.500
Hg2 0.500 0.500 0.500
Hg3 0.652 0.348 0.500

Results
Its final energy is -4.416 eV per atom. The value obtained for the total magnetization is 0.00 μB/atom. The calculated formation energy is 14 kJ per mole of atoms. The calculation puts the density of states at the Fermi level at 15.5 states/eV/f.u. As for the crystal system: orthorhombic. The value obtained for the volume is 381.8 Å³/f.u.



Th6CdHg5 | PBE | relaxed

Cell lengths 8.641, 8.641, 7.564 Å; angles 90.00, 90.00, 143.15 degrees
Fractional positions:
Th1 0.000 0.000 0.248
Th2 0.000 0.000 0.752
Th3 0.332 0.668 0.250
Th4 0.332 0.668 0.750
Th5 0.668 0.332 0.250
Th6 0.668 0.332 0.750
Cd1 0.500 0.500 0.500
Hg1 0.165 0.835 0.500
Hg2 0.166 0.834 0.000
Hg3 0.500 0.500 0.000
Hg4 0.834 0.166 0.000
Hg5 0.835 0.165 0.500

Results
Its final energy is -4.076 eV per atom. The value obtained for the total magnetization is 0.00 μB/atom. The calculated formation energy is -16 kJ per mole of atoms. The calculation puts the density of states at the Fermi level at 11.0 states/eV/f.u. As for the crystal system: orthorhombic. The value obtained for the volume is 338.7 Å³/f.u.